A relaxed structure of La3CuOs. Source: Alexandria, functional PBE.

a b c (Å): 7.4916 8.9094 8.9942
angles (deg): 108.58 90.00 90.00
Last column: nearest neighbours and their distance in Å.
Element x y z (fractional)
La1 0.1475 0.6072 0.7710  2 Os 2.91-3.05, 3 Cu 3.05-3.18
La2 0.8525 0.3928 0.2290  2 Os 2.91-3.05, 3 Cu 3.05-3.18
La3 0.6475 0.8928 0.2290  2 Os 2.91-3.05, 3 Cu 3.05-3.18
La4 0.3525 0.1072 0.7710  2 Os 2.91-3.05, 3 Cu 3.05-3.18
La5 0.6792 0.5088 0.8469  1 Os 2.74, 1 Cu 3.03
La6 0.3208 0.4912 0.1531  1 Os 2.74, 1 Cu 3.03
La7 0.1792 0.9912 0.1531  1 Os 2.74, 1 Cu 3.03
La8 0.8208 0.0088 0.8469  1 Os 2.74, 1 Cu 3.03
La9 0.9902 0.2161 0.5420  4 Os 2.91-3.18, 1 Cu 3.18
La10 0.0098 0.7839 0.4580  4 Os 2.91-3.18, 1 Cu 3.18
La11 0.4902 0.2839 0.4580  4 Os 2.91-3.18, 1 Cu 3.18
La12 0.5098 0.7161 0.5420  4 Os 2.91-3.18, 1 Cu 3.18
Cu1 0.0338 0.3455 0.9134  1 Cu 2.74, 2 La 3.03-3.05
Cu2 0.9662 0.6545 0.0866  1 Cu 2.74, 2 La 3.03-3.05
Cu3 0.5337 0.1545 0.0866  1 Cu 2.74, 2 La 3.03-3.05
Cu4 0.4662 0.8455 0.9134  1 Cu 2.74, 2 La 3.03-3.05
Os1 0.8125 0.5216 0.5680  5 La 2.74-3.05, 1 Os 3.04
Os2 0.1875 0.4784 0.4320  5 La 2.74-3.05, 1 Os 3.04
Os3 0.3125 0.9784 0.4320  5 La 2.74-3.05, 1 Os 3.04
Os4 0.6875 0.0216 0.5680  5 La 2.74-3.05, 1 Os 3.04

Calculated values
Distance to the lowest polymorph of the same formula, meV per atom: 0.0
Total energy, eV per cell: -123.09